Entry from the Alexandria database: BaCaTbMg after structural relaxation (PBE-GGA).

Computed properties:
Crystal system = cubic
Total moment = 0.000 μB/cell
Energy of formation from the pure elements = 0.15 eV/atom
DOS(E_F) = 1.572 states/eV/atom
Mass density = 4005 kg/m3

a b c (Å): 5.957 5.957 5.957
angles (deg): 60.00 60.00 60.00
Fractional positions:
Ba 0.000 0.000 0.000
Ca 0.750 0.750 0.750
Tb 0.500 0.500 0.500
Mg 0.250 0.250 0.250